No. 1
VASP calculation (PBE) on a relaxed Nd2SmTmTl2 crystal.

a b c (Å): 5.1584 10.1932 6.9605
angles (deg): 90.00 90.00 90.00
Last column: nearest neighbours and their distance in Å.
Space group Pmc2_1 (No. 26)
One atom of each set of equivalent atoms:
Nd1 0.0000 0.0469 0.0000  5 Tl 3.30-3.64, 4 Nd 3.51-3.61
Nd2 0.5000 0.1841 0.2761  4 Tl 3.25-3.36, 2 Nd 3.51
Sm1 0.5000 0.4552 0.9034  5 Tl 3.26-3.51, 2 Tm 3.56, 2 Sm 3.60
Tm1 0.0000 0.3128 0.6179  4 Tl 3.19-3.21, 2 Sm 3.56
Tl1 0.0000 0.3763 0.1659  2 Tm 3.19-3.21, 4 Sm 3.26-3.51, 3 Nd 3.33-3.55
Tl2 0.5000 0.1445 0.7401  2 Tm 3.21, 4 Nd 3.25-3.36, 1 Sm 3.36

## Properties
Calculated formation energy = -0.2679 eV per atom
Crystal system = orthorhombic

No. 2
VASP calculation (PBE) on a relaxed CaTa2Tc crystal.

a b c (Å): 3.1361 3.1361 28.8075
angles (deg): 90.00 90.00 120.00
Last column: nearest neighbours and their distance in Å.
Space group R-3m (No. 166, hexagonal axes)
One atom of each set of equivalent atoms:
Ca1 0.0000 0.0000 0.0000  6 Ca 3.14, 6 Ta 3.38
Ta1 0.0000 0.0000 0.2344  3 Tc 2.66
Tc1 0.0000 0.0000 0.5000  6 Ta 2.66

## Properties
Calculated formation energy = 0.4646 eV per atom
Excess energy over the best structure of this formula in the dataset = 198 meV per atom
Crystal system = trigonal

No. 3
VASP calculation (PBE) on a relaxed TbUPa2P4 crystal.

a b c (Å): 6.8702 3.9633 6.8915
angles (deg): 90.00 109.37 90.00
Last column: nearest neighbours and their distance in Å.
Space group P2/m (No. 10)
One atom of each set of equivalent atoms:
Tb1 0.0000 0.0000 0.0000  6 P 2.81-2.82
U1 0.0000 0.5000 0.5000  6 P 2.80
Pa1 0.5000 0.0000 0.5000  6 P 2.79-2.80
Pa2 0.5000 0.5000 0.0000  6 P 2.82
P1 0.2490 0.0000 0.7480  2 U 2.80, 3 Pa 2.80-2.82, 1 Tb 2.81
P2 0.2517 0.5000 0.2531  3 Pa 2.79-2.82, 1 U 2.80, 2 Tb 2.82

## Properties
Calculated formation energy = -1.2970 eV per atom
Crystal system = monoclinic

No. 4
VASP calculation (PBE) on a relaxed SiAsP2 crystal.

a b c (Å): 6.1512 6.1512 8.2798
angles (deg): 90.00 90.00 90.00
Last column: nearest neighbours and their distance in Å.
Space group I-42d (No. 122)
One atom of each set of equivalent atoms:
Si1 0.0000 0.0000 0.0000  4 P 2.28
As1 0.0000 0.0000 0.5000  4 P 2.54
P1 0.2167 0.2500 0.1250  2 Si 2.28, 2 As 2.54

## Properties
Excess energy over the best structure of this formula in the dataset = 113 meV per atom
Crystal system = tetragonal
Formation energy without anion corrections = 0.21 eV per atom

No. 5
VASP calculation (PBE) on a relaxed Tl2AsAuS4 crystal.

a b c (Å): 6.5593 12.1669 24.2708
angles (deg): 90.00 90.00 90.00
Last column: nearest neighbours and their distance in Å.
Space group Fddd (No. 70, origin choice 2)
One atom of each set of equivalent atoms:
Tl1 0.1250 0.1250 0.3190  4 S 3.12-3.46
As1 0.1250 0.1250 0.6250  4 S 2.20
Au1 0.1250 0.1250 0.1250  4 S 2.61
S1 0.0787 0.2699 0.8259  1 As 2.20

## Properties
Crystal system = orthorhombic
Formation energy without anion corrections = -0.09 eV per atom

No. 6
VASP calculation (PBE) on a relaxed KReSe crystal.

a b c (Å): 7.4101 7.4101 7.4101
angles (deg): 90.00 90.00 90.00
Last column: nearest neighbours and their distance in Å.
Space group F-43m (No. 216)
One atom of each set of equivalent atoms:
K1 0.0000 0.0000 0.0000  4 Se 3.21, 4 Re 3.21
Re1 0.2500 0.2500 0.2500  4 K 3.21
Se1 0.2500 0.2500 0.7500  4 K 3.21

## Properties
Excess energy over the best structure of this formula in the dataset = 1524 meV per atom
Crystal system = cubic
Formation energy without anion corrections = 1.91 eV per atom